Entry 1:
The following is a PBE-GGA calculation of LaSmCu2Si2 after structural relaxation, from the Alexandria database.

Cell: 4.227 4.227 7.975 Å, 90.00 90.00 120.00°
Element x y z (fractional)
La1 0.000 0.000 0.000
Sm1 0.000 0.000 0.500
Cu1 0.333 0.667 0.264
Cu2 0.667 0.333 0.736
Si1 0.333 0.667 0.740
Si2 0.667 0.333 0.260

Results
The value obtained for the uncorrected formation energy is -0.632 eV/atom. The total energy comes out at -32.479 eV/cell. Its symmetry is P-3m1. Its crystal system is trigonal.


Entry 2:
The following is a PBE-GGA calculation of LaSm2Cu2Si2 after structural relaxation, from the Alexandria database.

Cell: 10.186 10.186 10.186 Å, 24.20 24.20 24.20°
Element x y z (fractional)
La1 0.000 0.000 0.000
Sm1 0.127 0.127 0.127
Sm2 0.873 0.873 0.873
Cu1 0.404 0.404 0.404
Cu2 0.596 0.596 0.596
Si1 0.262 0.262 0.262
Si2 0.738 0.738 0.738

Results
The value obtained for the uncorrected formation energy is -0.478 eV/atom. The total energy comes out at -36.749 eV/cell. Its symmetry is R-3m. Its crystal system is trigonal.


Entry 3:
The following is a PBE-GGA calculation of LaSmCuSi after structural relaxation, from the Alexandria database.

Cell: 5.131 5.131 5.131 Å, 60.00 60.00 60.00°
Element x y z (fractional)
La1 0.000 0.000 0.000
Sm1 0.500 0.500 0.500
Cu1 0.750 0.750 0.750
Si1 0.250 0.250 0.250

Results
The value obtained for the uncorrected formation energy is -0.379 eV/atom. The total energy comes out at -20.681 eV/cell. Its symmetry is F-43m. Its crystal system is cubic.


Entry 4:
The following is a PBE-GGA calculation of La2SmCu2Si2 after structural relaxation, from the Alexandria database.

Cell: 10.160 10.160 10.160 Å, 24.04 24.04 24.04°
Element x y z (fractional)
La1 0.130 0.130 0.130
La2 0.870 0.870 0.870
Sm1 0.000 0.000 0.000
Cu1 0.399 0.399 0.399
Cu2 0.601 0.601 0.601
Si1 0.267 0.267 0.267
Si2 0.733 0.733 0.733

Results
The value obtained for the uncorrected formation energy is -0.487 eV/atom. The total energy comes out at -37.024 eV/cell. Its symmetry is R-3m. Its crystal system is trigonal.


Entry 5:
The following is a PBE-GGA calculation of SrLaCu2Si2 after structural relaxation, from the Alexandria database.

Cell: 4.189 4.189 8.784 Å, 90.00 90.00 120.00°
Element x y z (fractional)
Sr1 0.000 0.000 0.000
La1 0.000 0.000 0.500
Cu1 0.333 0.667 0.742
Cu2 0.667 0.333 0.258
Si1 0.333 0.667 0.263
Si2 0.667 0.333 0.737

Results
The value obtained for the uncorrected formation energy is -0.492 eV/atom. The total energy comes out at -28.601 eV/cell. Its symmetry is P-3m1. Its crystal system is trigonal.


Entry 6:
The following is a PBE-GGA calculation of SrLa2Cu2Si2 after structural relaxation, from the Alexandria database.

Cell: 10.181 10.181 10.181 Å, 24.69 24.69 24.69°
Element x y z (fractional)
Sr1 0.000 0.000 0.000
La1 0.133 0.133 0.133
La2 0.867 0.867 0.867
Cu1 0.409 0.409 0.409
Cu2 0.591 0.591 0.591
Si1 0.257 0.257 0.257
Si2 0.743 0.743 0.743

Results
The value obtained for the uncorrected formation energy is -0.409 eV/atom. The total energy comes out at -33.439 eV/cell. Its symmetry is R-3m. Its crystal system is trigonal.


Entry 7:
The following is a PBE-GGA calculation of SrLaCu2Si after structural relaxation, from the Alexandria database.

Cell: 5.069 5.069 6.497 Å, 90.00 90.00 90.00°
Element x y z (fractional)
Sr1 0.000 0.000 0.000
La1 0.000 0.000 0.500
Cu1 0.000 0.500 0.500
Cu2 0.500 0.000 0.500
Si1 0.500 0.500 0.000

Results
The value obtained for the uncorrected formation energy is 1.225 eV/atom. The total energy comes out at -14.099 eV/cell. Its symmetry is P4/mmm. Its crystal system is tetragonal.


Entry 8:
The following is a PBE-GGA calculation of LaTb2Cu2Si2 after structural relaxation, from the Alexandria database.

Cell: 9.930 9.930 9.930 Å, 24.78 24.78 24.78°
Element x y z (fractional)
La1 0.000 0.000 0.000
Tb1 0.128 0.128 0.128
Tb2 0.872 0.872 0.872
Cu1 0.406 0.406 0.406
Cu2 0.594 0.594 0.594
Si1 0.259 0.259 0.259
Si2 0.741 0.741 0.741

Results
The value obtained for the uncorrected formation energy is -0.491 eV/atom. The total energy comes out at -36.663 eV/cell. Its symmetry is R-3m. Its crystal system is trigonal.


Entry 9:
The following is a PBE-GGA calculation of La2CuSiTc after structural relaxation, from the Alexandria database.

Cell: 5.414 5.414 4.567 Å, 90.00 90.00 90.00°
Element x y z (fractional)
La1 0.000 0.500 0.000
La2 0.500 0.000 0.000
Cu1 0.000 0.000 0.000
Si1 0.500 0.500 0.500
Tc1 0.000 0.000 0.500

Results
The value obtained for the uncorrected formation energy is 0.523 eV/atom. The total energy comes out at -27.126 eV/cell. Its symmetry is P4/mmm. Its crystal system is tetragonal.


Entry 10:
The following is a PBE-GGA calculation of LaTm2Cu2Si2 after structural relaxation, from the Alexandria database.

Cell: 9.612 9.612 9.612 Å, 25.64 25.64 25.64°
Element x y z (fractional)
La1 0.000 0.000 0.000
Tm1 0.129 0.129 0.129
Tm2 0.871 0.871 0.871
Cu1 0.410 0.410 0.410
Cu2 0.590 0.590 0.590
Si1 0.256 0.256 0.256
Si2 0.744 0.744 0.744

Results
The value obtained for the uncorrected formation energy is -0.491 eV/atom. The total energy comes out at -36.343 eV/cell. Its symmetry is R-3m. Its crystal system is trigonal.


Entry 11:
The following is a PBE-GGA calculation of LaYCu2Si2 after structural relaxation, from the Alexandria database.

Cell: 4.205 4.205 7.852 Å, 90.00 90.00 120.00°
Element x y z (fractional)
La1 0.000 0.000 0.000
Y1 0.000 0.000 0.500
Cu1 0.333 0.667 0.728
Cu2 0.667 0.333 0.272
Si1 0.333 0.667 0.264
Si2 0.667 0.333 0.736

Results
The value obtained for the uncorrected formation energy is -0.656 eV/atom. The total energy comes out at -34.369 eV/cell. Its symmetry is P-3m1. Its crystal system is trigonal.


Entry 12:
The following is a PBE-GGA calculation of La2Zn4CuSi3 after structural relaxation, from the Alexandria database.

Cell: 4.222 4.222 10.425 Å, 90.00 90.00 90.00°
Element x y z (fractional)
La1 0.000 0.500 0.249
La2 0.500 0.000 0.751
Zn1 0.000 0.000 0.500
Zn2 0.000 0.500 0.874
Zn3 0.500 0.000 0.126
Zn4 0.500 0.500 0.500
Cu1 0.500 0.500 0.000
Si1 0.000 0.000 0.000
Si2 0.000 0.500 0.638
Si3 0.500 0.000 0.362

Results
The value obtained for the uncorrected formation energy is -0.430 eV/atom. The total energy comes out at -39.618 eV/cell. Its symmetry is P-4m2. Its crystal system is tetragonal.


Entry 13:
The following is a PBE-GGA calculation of La2ZnCuSi after structural relaxation, from the Alexandria database.

Cell: 5.753 5.753 4.333 Å, 90.00 90.00 90.00°
Element x y z (fractional)
La1 0.000 0.500 0.000
La2 0.500 0.000 0.000
Zn1 0.000 0.000 0.500
Cu1 0.500 0.500 0.500
Si1 0.500 0.500 0.000

Results
The value obtained for the uncorrected formation energy is -0.058 eV/atom. The total energy comes out at -20.937 eV/cell. Its symmetry is P4/mmm. Its crystal system is tetragonal.


Entry 14:
The following is a PBE-GGA calculation of LaSm2Cu after structural relaxation, from the Alexandria database.

Cell: 7.017 10.166 6.622 Å, 90.00 90.00 90.00°
Element x y z (fractional)
La1 0.017 0.250 0.139
La2 0.483 0.750 0.639
La3 0.517 0.250 0.361
La4 0.983 0.750 0.861
Sm1 0.186 0.058 0.673
Sm2 0.186 0.442 0.673
Sm3 0.314 0.558 0.173
Sm4 0.314 0.942 0.173
Sm5 0.686 0.058 0.827
Sm6 0.686 0.442 0.827
Sm7 0.814 0.558 0.327
Sm8 0.814 0.942 0.327
Cu1 0.106 0.750 0.425
Cu2 0.394 0.250 0.925
Cu3 0.606 0.750 0.075
Cu4 0.894 0.250 0.575

Results
The total energy comes out at -74.899 eV/cell. Its excess energy over the best structure of this formula in the dataset is 2.9 meV per atom. Its symmetry is Pnma. Its crystal system is orthorhombic.


Entry 15:
The following is a PBE-GGA calculation of LaSm5Cu6 after structural relaxation, from the Alexandria database.

Cell: 8.003 8.003 7.076 Å, 90.00 90.00 143.10°
Element x y z (fractional)
La1 0.000 0.000 0.000
Sm1 0.000 0.000 0.500
Sm2 0.332 0.668 0.000
Sm3 0.334 0.666 0.500
Sm4 0.666 0.334 0.500
Sm5 0.668 0.332 0.000
Cu1 0.170 0.830 0.255
Cu2 0.170 0.830 0.745
Cu3 0.500 0.500 0.259
Cu4 0.500 0.500 0.741
Cu5 0.830 0.170 0.255
Cu6 0.830 0.170 0.745

Results
The total energy comes out at -55.137 eV/cell. Its symmetry is Cmmm. Its crystal system is orthorhombic.


Entry 16:
The following is a PBE-GGA calculation of LaSm2Cu after structural relaxation, from the Alexandria database.

Cell: 6.520 6.520 7.602 Å, 90.00 90.00 134.33°
Element x y z (fractional)
La1 0.050 0.950 0.750
La2 0.950 0.050 0.250
Sm1 0.352 0.648 0.527
Sm2 0.352 0.648 0.973
Sm3 0.648 0.352 0.027
Sm4 0.648 0.352 0.473
Cu1 0.197 0.803 0.250
Cu2 0.803 0.197 0.750

Results
The total energy comes out at -37.378 eV/cell. Its excess energy over the best structure of this formula in the dataset is 11.8 meV per atom. Its symmetry is Cmcm. Its crystal system is orthorhombic.


Entry 17:
The following is a PBE-GGA calculation of LaSm2Cu3 after structural relaxation, from the Alexandria database.

Cell: 3.568 3.568 10.829 Å, 90.00 90.00 90.00°
Element x y z (fractional)
La1 0.000 0.000 0.000
Sm1 0.000 0.000 0.337
Sm2 0.000 0.000 0.663
Cu1 0.500 0.500 0.180
Cu2 0.500 0.500 0.500
Cu3 0.500 0.500 0.820

Results
The total energy comes out at -27.649 eV/cell. Its symmetry is P4/mmm. Its crystal system is tetragonal.


Entry 18:
The following is a PBE-GGA calculation of LaSm2Cu9 after structural relaxation, from the Alexandria database.

Cell: 5.313 5.313 16.552 Å, 90.00 90.00 120.00°
Element x y z (fractional)
La1 0.333 0.667 0.250
La2 0.667 0.333 0.750
Sm1 0.333 0.667 0.032
Sm2 0.333 0.667 0.468
Sm3 0.667 0.333 0.532
Sm4 0.667 0.333 0.968
Cu1 0.000 0.000 0.000
Cu2 0.000 0.000 0.250
Cu3 0.000 0.000 0.500
Cu4 0.000 0.000 0.750
Cu5 0.166 0.331 0.627
Cu6 0.166 0.331 0.873
Cu7 0.166 0.834 0.627
Cu8 0.166 0.834 0.873
Cu9 0.331 0.166 0.127
Cu10 0.331 0.166 0.373
Cu11 0.333 0.667 0.750
Cu12 0.667 0.333 0.250
Cu13 0.669 0.834 0.627
Cu14 0.669 0.834 0.873
Cu15 0.834 0.166 0.127
Cu16 0.834 0.166 0.373
Cu17 0.834 0.669 0.127
Cu18 0.834 0.669 0.373

Results
The total energy comes out at -106.006 eV/cell. Its symmetry is P6_3/mmc. Its crystal system is hexagonal.


Entry 19:
The following is a PBE-GGA calculation of La2SmCu6 after structural relaxation, from the Alexandria database.

Cell: 7.468 7.468 3.799 Å, 90.00 90.00 120.00°
Element x y z (fractional)
La1 0.333 0.667 0.000
La2 0.667 0.333 0.000
Sm1 0.000 0.000 0.000
Cu1 0.000 0.331 0.500
Cu2 0.000 0.669 0.500
Cu3 0.331 0.000 0.500
Cu4 0.331 0.331 0.500
Cu5 0.669 0.000 0.500
Cu6 0.669 0.669 0.500

Results
The total energy comes out at -41.169 eV/cell. Its symmetry is P6/mmm. Its crystal system is hexagonal.


Entry 20:
The following is a PBE-GGA calculation of LaSm2Cu6 after structural relaxation, from the Alexandria database.

Cell: 7.425 7.425 3.746 Å, 90.00 90.00 120.00°
Element x y z (fractional)
La1 0.000 0.000 0.000
Sm1 0.333 0.667 0.000
Sm2 0.667 0.333 0.000
Cu1 0.000 0.335 0.500
Cu2 0.000 0.665 0.500
Cu3 0.335 0.000 0.500
Cu4 0.335 0.335 0.500
Cu5 0.665 0.000 0.500
Cu6 0.665 0.665 0.500

Results
The total energy comes out at -40.988 eV/cell. Its symmetry is P6/mmm. Its crystal system is hexagonal.


Entry 21:
The following is a PBE-GGA calculation of LaSmCu10 after structural relaxation, from the Alexandria database.

Cell: 4.127 5.151 8.838 Å, 90.00 90.00 90.00°
Element x y z (fractional)
La1 0.000 0.000 0.000
Sm1 0.000 0.500 0.500
Cu1 0.000 0.000 0.337
Cu2 0.000 0.000 0.663
Cu3 0.000 0.500 0.169
Cu4 0.000 0.500 0.831
Cu5 0.500 0.000 0.500
Cu6 0.500 0.252 0.254
Cu7 0.500 0.252 0.746
Cu8 0.500 0.500 0.000
Cu9 0.500 0.748 0.254
Cu10 0.500 0.748 0.746

Results
The total energy comes out at -52.610 eV/cell. Its symmetry is Pmmm. Its crystal system is orthorhombic.


Entry 22:
The following is a PBE-GGA calculation of LaSm2Cu after structural relaxation, from the Alexandria database.

Cell: 10.323 10.323 10.323 Å, 20.86 20.86 20.86°
Element x y z (fractional)
La1 0.000 0.000 0.000
Sm1 0.565 0.565 0.565
Sm2 0.768 0.768 0.768
Cu1 0.166 0.166 0.166

Results
The total energy comes out at -18.223 eV/cell. Its excess energy over the best structure of this formula in the dataset is 128.3 meV per atom. Its symmetry is R3m. Its crystal system is trigonal.


Entry 23:
The following is a PBE-GGA calculation of LaSm2Cu after structural relaxation, from the Alexandria database.

Cell: 3.612 3.612 8.843 Å, 90.00 90.00 90.00°
Element x y z (fractional)
La1 0.000 0.000 0.000
Sm1 0.500 0.500 0.308
Sm2 0.500 0.500 0.692
Cu1 0.000 0.000 0.500

Results
The total energy comes out at -18.736 eV/cell. Its excess energy over the best structure of this formula in the dataset is 0.0 meV per atom. Its symmetry is P4/mmm. Its crystal system is tetragonal.


Entry 24:
The following is a PBE-GGA calculation of LaSm4Cu5 after structural relaxation, from the Alexandria database.

Cell: 3.552 3.552 18.011 Å, 90.00 90.00 90.00°
Element x y z (fractional)
La1 0.000 0.000 0.000
Sm1 0.000 0.000 0.204
Sm2 0.000 0.000 0.401
Sm3 0.000 0.000 0.599
Sm4 0.000 0.000 0.796
Cu1 0.500 0.500 0.109
Cu2 0.500 0.500 0.302
Cu3 0.500 0.500 0.500
Cu4 0.500 0.500 0.698
Cu5 0.500 0.500 0.891

Results
The total energy comes out at -45.988 eV/cell. Its symmetry is P4/mmm. Its crystal system is tetragonal.


Entry 25:
The following is a PBE-GGA calculation of LaSm2Cu after structural relaxation, from the Alexandria database.

Cell: 10.407 10.407 10.407 Å, 20.43 20.43 20.43°
Element x y z (fractional)
La1 0.000 0.000 0.000
Sm1 0.233 0.233 0.233
Sm2 0.767 0.767 0.767
Cu1 0.500 0.500 0.500

Results
The total energy comes out at -18.260 eV/cell. Its excess energy over the best structure of this formula in the dataset is 119.1 meV per atom. Its symmetry is R-3m. Its crystal system is trigonal.